Below is a relaxed structure of LaPuPdSe3, with properties calculated at the PBE level.

Summary:
The value obtained for the formation energy from raw total energies is -1456 meV per atom.

a b c (Å): 8.289 4.114 9.086
angles (deg): 90.00 103.04 90.00
Fractional positions:
La 0.177 0.250 0.254
La 0.823 0.750 0.746
Pu 0.329 0.750 0.830
Pu 0.671 0.250 0.170
Pd 0.094 0.250 0.591
Pd 0.906 0.750 0.409
Se 0.095 0.250 0.875
Se 0.252 0.750 0.509
Se 0.418 0.750 0.162
Se 0.582 0.250 0.838
Se 0.748 0.250 0.491
Se 0.905 0.750 0.125

---

Below is a relaxed structure of LaPuSi2Pd5, with properties calculated at the PBE level.

Summary:
The value obtained for the formation energy from raw total energies is -755 meV per atom.

a b c (Å): 4.253 4.253 9.088
angles (deg): 90.00 90.00 90.00
Fractional positions:
La 0.000 0.000 0.000
Pu 0.000 0.000 0.500
Si 0.500 0.500 0.369
Si 0.500 0.500 0.631
Pd 0.000 0.500 0.236
Pd 0.000 0.500 0.764
Pd 0.500 0.000 0.236
Pd 0.500 0.000 0.764
Pd 0.500 0.500 0.000

---

Below is a relaxed structure of LaPuSiPd, with properties calculated at the PBE level.

Summary:
The value obtained for the formation energy from raw total energies is -442 meV per atom.

a b c (Å): 5.119 5.119 5.119
angles (deg): 60.00 60.00 60.00
Fractional positions:
La 0.000 0.000 0.000
Pu 0.500 0.500 0.500
Si 0.750 0.750 0.750
Pd 0.250 0.250 0.250

---

Below is a relaxed structure of LaPuSnPd, with properties calculated at the PBE level.

a b c (Å): 5.325 5.325 5.325
angles (deg): 60.00 60.00 60.00
Fractional positions:
La 0.000 0.000 0.000
Pu 0.500 0.500 0.500
Sn 0.250 0.250 0.250
Pd 0.750 0.750 0.750

---

One value per record, in order, for final energy: -87.28; -62.86; -31.64; -30.30 eV/cell.
One value per record, in order, for size of the total moment: 5.00; 5.27; 5.39; 5.47 μB per formula unit.